# 1
AcY2Mg9 PBE optimized geometry; calculated formation energy = -0.0851 eV per atom; total energy = -2.701 eV per atom; total moment = 0.001 μB/cell
1.0
-1.043 5.290 2.931
2.694 1.096 5.405
8.196 6.206 -1.859
Ac Y Mg
1 2 9
direct
0.000 0.000 0.000
0.855 0.855 0.436
0.145 0.145 0.564
0.666 0.666 0.003
0.334 0.334 0.997
0.500 0.500 0.500
0.411 0.411 0.257
0.921 0.411 0.257
0.411 0.921 0.257
0.589 0.589 0.743
0.589 0.079 0.743
0.079 0.589 0.743

---

# 2
Ac6YMg PBE optimized geometry; calculated formation energy = 0.0304 eV per atom; total energy = -4.058 eV per atom; total moment = 0.000 μB/cell
1.0
5.350 0.000 1.611
-0.485 5.328 1.612
-0.439 -0.482 11.146
Ac Y Mg
6 1 1
direct
0.750 0.750 0.500
0.615 0.115 0.769
0.115 0.615 0.769
0.385 0.885 0.231
0.250 0.250 0.500
0.885 0.385 0.231
0.500 0.500 0.000
0.000 0.000 0.000